Below is a relaxed TlCuAs2 crystal, with properties calculated at the PBE level.

abc: 6.873 6.873 6.873
angles: 90.00 90.00 90.00
Space group Fm-3m (No. 225)
Asymmetric unit:
Tl  0.000  0.000  0.000 [4 per cell]
Cu  0.000  0.000  0.500 [4 per cell]
As  0.250  0.250  0.250 [8 per cell]

**Polymorph energy (0 for the lowest one)**: 0.516 eV/atom
**Energy**: -54.33 eV per cell
**Density**: 8.5 g/cm3